Density functional theory data (GGA-PBE) for Cs2SiAu after structural relaxation.

Calculated values
Spin magnetization ... 3.00 μB per formula unit
Total energy ... -9.03 eV/cell

Cell and atoms, written as POSCAR:
```
Cs2SiAu
1.0
0.0000 4.4656 4.4656
4.4656 0.0000 4.4656
4.4656 4.4656 0.0000
Cs Si Au
2 1 1
direct
0.7500 0.7500 0.7500
0.2500 0.2500 0.2500
0.0000 0.0000 0.0000
0.5000 0.5000 0.5000
```